The following is a PBE calculation of a geometry-optimized Mg2CdBr structure, from the Alexandria database.

For the energy relative to the lowest polymorph listed for this composition, the calculation gives 0.313 eV per atom. The formation energy without anion corrections comes out at -0.104 eV/atom. As for the crystal system: tetragonal. The calculation puts the total moment at 0.000 μB/cell.

The structure belongs to space group I4/mmm (No. 139); the cell edges are 4.6830, 4.6830 and 9.1489 Å and the angles 90.00°, 90.00° and 90.00°. The inequivalent atoms are Mg at (0.0000, 0.5000, 0.2500), Cd at (0.0000, 0.0000, 0.0000) and Br at (0.0000, 0.0000, 0.5000).


The following is a PBE calculation of a geometry-optimized MgCd2Br structure, from the Alexandria database.

For the energy relative to the lowest polymorph listed for this composition, the calculation gives 0.298 eV per atom. The formation energy without anion corrections comes out at -0.083 eV/atom. As for the crystal system: tetragonal. The calculation puts the total moment at 0.000 μB/cell.

The structure belongs to space group I-4m2 (No. 119); the cell edges are 4.4719, 4.4719 and 10.2616 Å and the angles 90.00°, 90.00° and 90.00°. The inequivalent atoms are Mg at (0.0000, 0.0000, 0.0000), Cd at (0.0000, 0.0000, 0.5000), Cd at (0.0000, 0.5000, 0.2500) and Br at (0.0000, 0.5000, 0.7500).


> Number 2 is which compound?

MgCd2Br


> total moment of number 1 (Mg2CdBr)?

0.000 μB/cell


Repeat the first record exactly.
The following is a PBE calculation of a geometry-optimized Mg2CdBr structure, from the Alexandria database.

For the energy relative to the lowest polymorph listed for this composition, the calculation gives 0.313 eV per atom. The formation energy without anion corrections comes out at -0.104 eV/atom. As for the crystal system: tetragonal. The calculation puts the total moment at 0.000 μB/cell.

The structure belongs to space group I4/mmm (No. 139); the cell edges are 4.6830, 4.6830 and 9.1489 Å and the angles 90.00°, 90.00° and 90.00°. The inequivalent atoms are Mg at (0.0000, 0.5000, 0.2500), Cd at (0.0000, 0.0000, 0.0000) and Br at (0.0000, 0.0000, 0.5000).